The following is a DFT calculation (GGA-PBEsol) of an optimized crystal structure of AlMo2.

Values from the calculation:
ΔH_f (0 K): -0.086 eV per atom
mass density: 8.1 Mg/m³
electronic total energy: -9.29 eV per atom
DOS at the Fermi energy: 4.22 states/eV per cell
polymorph energy (0 for the lowest one): 0.17 eV/f.u.
magnetization: 0.00 Bohr magnetons per cell
crystal system: monoclinic

Geometry as POSCAR:
```
AlMo2
1.0
4.807 -1.619 0.000
4.807 1.619 0.000
-1.989 0.000 5.797
Al Mo
2 4
direct
0.167 0.167 0.327
0.833 0.833 0.673
0.160 0.160 0.833
0.500 0.500 0.000
0.500 0.500 0.500
0.840 0.840 0.167
```

---

The following is a DFT calculation (GGA-PBEsol) of an optimized crystal structure of AlMo.

Values from the calculation:
ΔH_f (0 K): -0.219 eV per atom
mass density: 6.8 Mg/m³
electronic total energy: -8.15 eV per atom
DOS at the Fermi energy: 2.03 states/eV per cell
magnetization: 0.00 Bohr magnetons per cell
crystal system: tetragonal

Geometry as POSCAR:
```
AlMo
1.0
3.198 0.000 0.000
0.000 3.198 0.000
0.000 0.000 5.874
Al Mo
2 2
direct
0.250 0.250 0.128
0.750 0.750 0.872
0.250 0.250 0.616
0.750 0.750 0.384
```

---

The following is a DFT calculation (GGA-PBEsol) of an optimized crystal structure of AlMo2.

Values from the calculation:
ΔH_f (0 K): -0.140 eV per atom
mass density: 8.1 Mg/m³
electronic total energy: -9.35 eV per atom
DOS at the Fermi energy: 1.62 states/eV per cell
polymorph energy (0 for the lowest one): 0.01 eV/f.u.
magnetization: 0.00 Bohr magnetons per cell
crystal system: trigonal

Geometry as POSCAR:
```
AlMo2
1.0
4.400 0.000 0.000
-2.200 3.811 0.000
0.000 0.000 2.690
Al Mo
1 2
direct
0.000 0.000 0.000
0.333 0.667 0.623
0.667 0.333 0.377
```

---

> DOS at the Fermi energy of number 3 (AlMo2)?

1.62 states/eV per cell

---

> Among the records above, which one has the highest DOS at the Fermi energy?

number 1

---

> magnetization of number 2 (AlMo)?

0.00 Bohr magnetons per cell